P | VASP calculation (SCAN) on a crystal of CuPIr relaxed with PBEsol.

Properties
- N(E_F) (states/eV per atom) = 0.49

Cell and atoms, written as POSCAR:
```
CuPIr
1.0
3.027 0.000 0.000
0.000 3.027 0.000
-1.514 -1.514 4.244
P Cu Ir
1 1 1
Direct
0.318 0.318 0.637 P
0.994 0.994 0.989 Cu
0.687 0.687 0.374 Ir
```



Q | VASP calculation (SCAN) on a crystal of CuPIr relaxed with PBEsol.

Properties
- N(E_F) (states/eV per atom) = 0.45

Cell and atoms, written as POSCAR:
```
CuPIr
1.0
-2.961 -2.450 -0.430
0.642 -3.812 -0.086
-1.121 -2.217 2.964
Ir P Cu
1 1 1
Direct
0.500 0.500 0.500 Ir
0.250 0.250 0.250 P
0.000 0.000 0.000 Cu
```



Ranked by calculated energy, most stable first: Q, P.



P | VASP calculation (SCAN) on a crystal of ScMoAu2 relaxed with PBEsol.

Properties
- N(E_F) (states/eV per atom) = 0.82

Cell and atoms, written as POSCAR:
```
ScMoAu2
1.0
-1.452 -1.651 -1.967
1.014 -2.676 -0.715
-5.136 -5.151 5.902
Mo Au Sc
1 2 1
Direct
0.499 0.499 0.503 Mo
0.752 0.752 0.743 Au
0.999 0.999 0.003 Au
0.249 0.249 0.252 Sc
```



Q | VASP calculation (SCAN) on a crystal of ScMoAu2 relaxed with PBEsol.

Properties
- N(E_F) (states/eV per atom) = 0.80

Cell and atoms, written as POSCAR:
```
ScMoAu2
1.0
2.909 0.000 0.000
0.000 2.909 0.000
0.000 0.000 8.020
Au Mo Sc
2 1 1
Direct
0.000 0.000 0.244 Au
0.000 0.000 0.756 Au
0.500 0.500 0.000 Mo
0.500 0.500 0.500 Sc
```



Ranked by calculated energy, most stable first: Q, P.



P | VASP calculation (SCAN) on a crystal of AlHgW2 relaxed with PBEsol.

Properties
- N(E_F) (states/eV per atom) = 0.85

Cell and atoms, written as POSCAR:
```
AlHgW2
1.0
-1.638 -2.029 -2.832
1.703 -3.196 1.305
-3.516 1.813 3.351
W Al Hg
2 1 1
Direct
0.250 0.750 0.500 W
0.750 0.250 0.500 W
0.500 0.500 0.000 Al
0.000 0.000 0.000 Hg
```



Q | VASP calculation (SCAN) on a crystal of AlHgW2 relaxed with PBEsol.

Properties
- N(E_F) (states/eV per atom) = 0.61

Cell and atoms, written as POSCAR:
```
AlHgW2
1.0
3.854 0.000 0.000
0.000 3.854 0.000
0.000 0.000 4.369
Al W Hg
1 2 1
Direct
0.500 0.500 0.500 Al
0.500 0.000 0.000 W
0.000 0.500 0.000 W
0.000 0.000 0.500 Hg
```



Ranked by calculated energy, most stable first: Q, P.



P | VASP calculation (SCAN) on a crystal of BaZrTe2 relaxed with PBEsol.

Properties
- N(E_F) (states/eV per atom) = 0.70

Cell and atoms, written as POSCAR:
```
BaZrTe2
1.0
4.025 0.000 0.000
2.013 3.486 0.000
2.013 1.162 10.300
Te Ba Zr
2 1 1
Direct
0.890 0.890 0.330 Te
0.110 0.110 0.670 Te
0.000 0.000 0.000 Ba
0.500 0.500 0.500 Zr
```



Q | VASP calculation (SCAN) on a crystal of BaZrTe2 relaxed with PBEsol.

Properties
- N(E_F) (states/eV per atom) = 0.86

Cell and atoms, written as POSCAR:
```
BaZrTe2
1.0
-5.007 -2.129 -0.098
-1.077 -4.274 -3.191
-0.924 -4.884 2.214
Te Zr Ba
2 1 1
Direct
0.750 0.750 0.750 Te
0.000 0.000 0.000 Te
0.250 0.250 0.250 Zr
0.500 0.500 0.500 Ba
```



Ranked by calculated energy, most stable first: P, Q.



P | VASP calculation (SCAN) on a crystal of TeSe2 relaxed with PBEsol.

Cell and atoms, written as POSCAR:
```
TeSe2
1.0
4.051 0.000 0.000
-2.025 3.575 0.002
0.000 -0.124 5.418
Se Te
2 1
Direct
0.986 0.254 0.163 Se
0.732 0.746 0.837 Se
0.282 0.000 0.500 Te
```



Q | VASP calculation (SCAN) on a crystal of TeSe2 relaxed with PBEsol.

Properties
- N(E_F) (states/eV per atom) = 0.49

Cell and atoms, written as POSCAR:
```
TeSe2
1.0
5.794 0.021 0.034
-2.311 5.313 -0.034
-2.311 -2.295 4.792
Te Se
2 4
Direct
0.000 0.750 0.750 Te
0.000 0.250 0.250 Te
0.769 0.135 0.635 Se
0.231 0.865 0.365 Se
0.500 0.635 0.865 Se
0.500 0.365 0.135 Se
```



Ranked by calculated energy, most stable first: P, Q.



P | VASP calculation (SCAN) on a crystal of SrSc2Mn relaxed with PBEsol.

Properties
- N(E_F) (states/eV per atom) = 1.15

Cell and atoms, written as POSCAR:
```
SrSc2Mn
1.0
4.493 0.000 0.000
0.000 4.493 0.000
0.000 0.000 4.847
Mn Sc Sr
1 2 1
Direct
0.000 0.000 0.500 Mn
0.000 0.500 0.000 Sc
0.500 0.000 0.000 Sc
0.500 0.500 0.500 Sr
```



Q | VASP calculation (SCAN) on a crystal of SrSc2Mn relaxed with PBEsol.

Properties
- N(E_F) (states/eV per atom) = 1.35

Cell and atoms, written as POSCAR:
```
SrSc2Mn
1.0
-1.494 -2.456 -1.881
3.158 1.470 -4.427
2.716 -2.773 4.601
Sc Mn Sr
2 1 1
Direct
0.808 0.808 0.616 Sc
0.192 0.192 0.384 Sc
0.500 0.000 0.000 Mn
0.000 0.500 0.000 Sr
```



Ranked by calculated energy, most stable first: Q, P.